Entry 1:
# Pu6InPb

A geometry-optimized Pu6InPb structure (PBE, Alexandria).

Cell: 4.674 4.674 9.591 Å, 90.00 90.00 90.00°
Last column: magnetic moment on the atom in μB.
Sites, in units of the cell vectors:
Pu  0.500  0.000  0.746  5.46
Pu  0.500  0.500  0.000  5.62
Pu  0.000  0.500  0.254  5.46
Pu  0.000  0.500  0.746  5.46
Pu  0.500  0.000  0.254  5.46
Pu  0.500  0.500  0.500  -5.05
In  0.000  0.000  0.500  -0.04
Pb  0.000  0.000  0.000  -0.13

Properties
The calculation puts the density of states at the Fermi level at 37.96 states/eV per cell. The density is 14.16 g/cm3. The formation energy is 0.004 eV/f.u. The value obtained for the total moment is 23.69 μB per cell.

---

Entry 2:
# PuIn4Pb2

A geometry-optimized PuIn4Pb2 structure (PBE, Alexandria).

Cell: 4.520 6.700 6.700 Å, 82.62 90.00 90.00°
Last column: magnetic moment on the atom in μB.
Sites, in units of the cell vectors:
Pu  0.500  0.500  0.500  5.47
Pb  0.000  0.790  0.210  0.01
Pb  0.000  0.210  0.790  0.01
In  0.500  0.500  0.000  0.02
In  0.500  0.000  0.500  0.02
In  0.000  0.736  0.736  0.01
In  0.000  0.264  0.264  0.01

Properties
The calculation puts the density of states at the Fermi level at 14.57 states/eV per cell. The density is 9.22 g/cm3. The formation energy is -0.241 eV/f.u. The value obtained for the total moment is 6.04 μB per cell.

---

Entry 3:
# Pu3In2Pb

A geometry-optimized Pu3In2Pb structure (PBE, Alexandria).

Cell: 4.074 4.074 9.811 Å, 90.00 90.00 90.00°
Last column: magnetic moment on the atom in μB.
Sites, in units of the cell vectors:
Pu  0.000  0.000  0.666  5.50
Pu  0.000  0.000  0.334  5.50
Pu  0.000  0.000  0.000  -5.22
In  0.500  0.500  0.836  0.01
In  0.500  0.500  0.164  0.01
Pb  0.500  0.500  0.500  -0.04

Properties
The calculation puts the density of states at the Fermi level at 26.48 states/eV per cell. The density is 11.92 g/cm3. The formation energy is -0.325 eV/f.u. The value obtained for the total moment is 6.27 μB per cell.

---

Entry 4:
# PuIn6Pb

A geometry-optimized PuIn6Pb structure (PBE, Alexandria).

Cell: 4.570 6.857 6.857 Å, 90.00 90.00 90.00°
Last column: magnetic moment on the atom in μB.
Sites, in units of the cell vectors:
In  0.500  0.500  0.000  0.01
In  0.000  0.252  0.252  0.02
In  0.500  0.000  0.500  0.01
In  0.000  0.253  0.747  0.02
In  0.000  0.747  0.253  0.02
In  0.000  0.748  0.748  0.02
Pb  0.500  0.000  0.000  -0.02
Pu  0.500  0.500  0.500  5.50

Properties
The calculation puts the density of states at the Fermi level at 14.68 states/eV per cell. The density is 8.81 g/cm3. The formation energy is -0.414 eV/f.u. The value obtained for the total moment is 6.11 μB per cell.

---

Entry 5:
# PuInPb

A geometry-optimized PuInPb structure (PBE, Alexandria).

Cell: 5.725 4.877 6.567 Å, 90.00 90.00 115.12°
Last column: magnetic moment on the atom in μB.
Sites, in units of the cell vectors:
In  0.323  0.161  0.750  0.00
In  0.677  0.839  0.250  0.00
Pb  0.329  0.165  0.250  -0.03
Pb  0.671  0.835  0.750  -0.03
Pu  0.000  0.500  0.000  5.64
Pu  0.000  0.500  0.500  5.64

Properties
The value obtained for the energy above the most stable polymorph in this dataset is 4 meV per atom. The calculation puts the density of states at the Fermi level at 19.70 states/eV per cell. The density is 11.32 g/cm3. The formation energy is -0.251 eV/f.u. The value obtained for the total moment is 11.98 μB per cell.

---

Entry 6:
# Pu2InPb4

A geometry-optimized Pu2InPb4 structure (PBE, Alexandria).

Cell: 4.772 6.656 6.656 Å, 94.34 90.00 90.00°
Last column: magnetic moment on the atom in μB.
Sites, in units of the cell vectors:
Pu  0.000  0.734  0.266  5.38
Pu  0.000  0.266  0.734  5.38
Pb  0.000  0.777  0.777  -0.01
Pb  0.500  0.000  0.500  0.00
Pb  0.500  0.500  0.000  0.00
Pb  0.000  0.223  0.223  -0.01
In  0.500  0.500  0.500  0.01

Properties
The calculation puts the density of states at the Fermi level at 24.29 states/eV per cell. The density is 11.28 g/cm3. The formation energy is -0.513 eV/f.u. The value obtained for the total moment is 11.24 μB per cell.

---

Entry 7:
# PuInPb

A geometry-optimized PuInPb structure (PBE, Alexandria).

Cell: 4.581 4.771 7.921 Å, 108.00 90.00 90.00°
Last column: magnetic moment on the atom in μB.
Sites, in units of the cell vectors:
Pu  0.750  0.587  0.172  5.52
Pu  0.250  0.413  0.828  5.52
In  0.250  0.752  0.506  0.03
In  0.750  0.248  0.494  0.03
Pb  0.250  0.084  0.165  -0.03
Pb  0.750  0.916  0.835  -0.03

Properties
The value obtained for the energy above the most stable polymorph in this dataset is 0 meV per atom. The calculation puts the density of states at the Fermi level at 20.63 states/eV per cell. The density is 11.42 g/cm3. The formation energy is -0.263 eV/f.u. The value obtained for the total moment is 11.88 μB per cell.

---

Entry 8:
# Pu2InPb9

A geometry-optimized Pu2InPb9 structure (PBE, Alexandria).

Cell: 6.048 6.045 10.434 Å, 90.04 90.03 110.96°
Last column: magnetic moment on the atom in μB.
Sites, in units of the cell vectors:
Pb  0.500  0.500  0.000  0.01
Pb  0.500  0.000  0.833  -0.01
Pb  0.499  0.500  0.668  0.00
Pb  0.500  0.000  0.167  -0.01
Pb  0.000  0.500  0.833  -0.01
Pb  0.000  0.500  0.500  0.02
Pb  0.000  0.500  0.167  -0.01
Pb  0.500  0.000  0.500  0.02
Pb  0.501  0.500  0.332  0.00
Pu  0.000  0.000  0.333  -5.55
Pu  0.000  0.000  0.667  -5.55
In  0.000  0.000  0.000  0.00

Properties
The calculation puts the density of states at the Fermi level at 23.98 states/eV per cell. The density is 11.50 g/cm3. The formation energy is -0.403 eV/f.u. The value obtained for the total moment is 11.81 μB per cell.

---

Entry 9:
# Pu3InPb2

A geometry-optimized Pu3InPb2 structure (PBE, Alexandria).

Cell: 4.120 4.120 9.100 Å, 90.00 90.00 90.00°
Last column: magnetic moment on the atom in μB.
Sites, in units of the cell vectors:
Pu  0.000  0.000  0.624  0.08
Pu  0.000  0.000  0.376  0.08
Pu  0.000  0.000  0.000  -0.43
Pb  0.500  0.500  0.821  0.00
Pb  0.500  0.500  0.179  0.00
In  0.500  0.500  0.500  0.01

Properties
The calculation puts the density of states at the Fermi level at 26.46 states/eV per cell. The density is 13.56 g/cm3. The formation energy is 4.812 eV/f.u. The value obtained for the total moment is 0.02 μB per cell.

---

Repeat the fourth record exactly.
# PuIn6Pb

A geometry-optimized PuIn6Pb structure (PBE, Alexandria).

Cell: 4.570 6.857 6.857 Å, 90.00 90.00 90.00°
Last column: magnetic moment on the atom in μB.
Sites, in units of the cell vectors:
In  0.500  0.500  0.000  0.01
In  0.000  0.252  0.252  0.02
In  0.500  0.000  0.500  0.01
In  0.000  0.253  0.747  0.02
In  0.000  0.747  0.253  0.02
In  0.000  0.748  0.748  0.02
Pb  0.500  0.000  0.000  -0.02
Pu  0.500  0.500  0.500  5.50

Properties
The calculation puts the density of states at the Fermi level at 14.68 states/eV per cell. The density is 8.81 g/cm3. The formation energy is -0.414 eV/f.u. The value obtained for the total moment is 6.11 μB per cell.